The following is a DFT calculation (GGA-PBE) of crystalline SmHoEr2Se6 at its relaxed geometry.

Space group: R3, No. 146
Crystal system: trigonal
Mass density: 6.4 g/cm³
Energy relative to the elements, uncorrected: -1.8446 eV/atom
E_tot: -5.778 eV per atom

a b c (Å): 7.2084 7.2086 7.6968
angles (deg): 62.07 62.08 59.99
Element x y z (fractional)
Sm: 0.8149 0.8149 0.5553
Se: 0.2272 0.9130 0.2478
Se: 0.1230 0.4021 0.7498
Se: 0.4020 0.7251 0.7498
Ho: 0.3181 0.3181 0.0457
Se: 0.6119 0.2273 0.2478
Se: 0.9131 0.6120 0.2478
Se: 0.7251 0.1230 0.7498
Er: 0.0121 0.0121 0.9638
Er: 0.5142 0.5142 0.4575

The following is a DFT calculation (GGA-PBE) of crystalline Mg2SnPt at its relaxed geometry.

Space group: P4/mmm, No. 123
Crystal system: tetragonal
Mass density: 8.0 g/cm³
E_tot: -3.770 eV per atom

a b c (Å): 4.1816 4.2379 4.2379
angles (deg): 90.00 90.00 90.00
Element x y z (fractional)
Mg: 0.0000 0.5000 0.0000
Mg: 0.0000 0.0000 0.5000
Pt: 0.5000 0.0000 0.0000
Sn: 0.5000 0.5000 0.5000

The following is a DFT calculation (GGA-PBE) of crystalline KRbLiCo2 at its relaxed geometry.

Space group: P4/mmm, No. 123
Crystal system: tetragonal
Mass density: 2.1 g/cm³
E_tot: -2.092 eV per atom

a b c (Å): 5.9301 5.7051 5.9301
angles (deg): 90.00 90.00 90.00
Each line ends with the local moment (μB).
Element x y z (fractional)
K: 0.0000 0.0000 0.0000  -0.02
Rb: 0.5000 0.5000 0.5000  -0.01
Li: 0.0000 0.5000 0.0000  -0.03
Co: 0.0000 0.0000 0.5000  2.00
Co: 0.5000 0.0000 0.0000  2.09

The following is a DFT calculation (GGA-PBE) of crystalline Zr4ZnW at its relaxed geometry.

Space group: F-43m, No. 216
Crystal system: cubic
Mass density: 8.1 g/cm³
E_tot: -7.431 eV per atom

a b c (Å): 5.6200 5.6200 5.6200
angles (deg): 60.00 60.00 60.00
Element x y z (fractional)
Zr: 0.3769 0.8692 0.3769
Zr: 0.3769 0.3769 0.3769
Zr: 0.8692 0.3769 0.3769
Zr: 0.3769 0.3769 0.8692
W: 0.7500 0.7500 0.7500
Zn: 0.0000 0.0000 0.0000

The following is a DFT calculation (GGA-PBE) of crystalline Sc4GeTe2P at its relaxed geometry.

Space group: P2/m, No. 10
Crystal system: monoclinic
Mass density: 4.9 g/cm³
Energy relative to the elements, uncorrected: -1.2107 eV/atom
E_tot: -6.415 eV per atom

a b c (Å): 3.9569 6.8648 7.0481
angles (deg): 108.84 90.00 90.00
Element x y z (fractional)
Sc: 0.0000 0.2585 0.7850
Te: 0.5000 0.0000 0.5000
Sc: 0.0000 0.7415 0.2150
Sc: 0.5000 0.2334 0.2103
P: 0.0000 0.0000 0.0000
Sc: 0.5000 0.7666 0.7897
Ge: 0.5000 0.5000 0.0000
Te: 0.0000 0.5000 0.5000

The following is a DFT calculation (GGA-PBE) of crystalline Co2TcPt at its relaxed geometry.

Space group: C2/m, No. 12
Polymorph energy (0 for the lowest one): 86.6 kJ/mol of formula units
Crystal system: monoclinic
Mass density: 12.6 g/cm³
E_tot: -7.443 eV per atom

a b c (Å): 5.1309 5.1309 2.5995
angles (deg): 76.42 76.42 117.53
Each line ends with the local moment (μB).
Element x y z (fractional)
Co: 0.5000 0.5000 0.0000  1.73
Pt: 0.5000 0.0000 0.5000  0.10
Co: 0.0000 0.0000 0.0000  1.73
Tc: 0.0000 0.5000 0.5000  0.36